! GdZnBi2 (PBE-GGA, relaxed); values from VASP
! Size of the total moment ... 6.934 μB per formula unit
! Calculated density ... 9.89 Mg/m³
! Calculated formation energy ... -0.3631 eV per atom
&SYSTEM
  ibrav = 0, nat = 4, ntyp = 3
/
ATOMIC_SPECIES
Gd 157.25 Gd.upf
Zn 65.41 Zn.upf
Bi 208.98 Bi.upf
CELL_PARAMETERS angstrom
4.877 0.000 0.000
0.000 4.877 0.000
0.000 0.000 4.520
ATOMIC_POSITIONS angstrom
Gd 0.000 0.000 0.000
Zn 2.438 2.438 0.000
Bi 0.000 2.438 2.260
Bi 2.438 0.000 2.260

=====

! GdZnBi (PBE-GGA, relaxed); values from VASP
! Size of the total moment ... 6.971 μB per formula unit
! Calculated density ... 9.07 Mg/m³
! Calculated formation energy ... -0.4602 eV per atom
&SYSTEM
  ibrav = 0, nat = 3, ntyp = 3
/
ATOMIC_SPECIES
Gd 157.25 Gd.upf
Zn 65.41 Zn.upf
Bi 208.98 Bi.upf
CELL_PARAMETERS angstrom
4.535 0.000 0.000
-2.268 3.928 0.000
0.000 0.000 4.438
ATOMIC_POSITIONS angstrom
Gd 0.000 0.000 0.000
Zn 0.000 2.618 1.342
Bi 2.268 1.309 2.454

=====

! GdZn2Bi (PBE-GGA, relaxed); values from VASP
! Size of the total moment ... 7.041 μB per formula unit
! Calculated density ... 8.92 Mg/m³
! Calculated formation energy ... -0.3292 eV per atom
&SYSTEM
  ibrav = 0, nat = 4, ntyp = 3
/
ATOMIC_SPECIES
Gd 157.25 Gd.upf
Zn 65.41 Zn.upf
Bi 208.98 Bi.upf
CELL_PARAMETERS angstrom
4.477 0.000 0.000
0.000 4.477 0.000
0.000 0.000 4.616
ATOMIC_POSITIONS angstrom
Gd 0.000 0.000 0.000
Zn 0.000 2.238 2.308
Zn 2.238 0.000 2.308
Bi 2.238 2.238 0.000

=====

! Gd2ZnBi (PBE-GGA, relaxed); values from VASP
! Distance to the lowest polymorph of the same formula ... 73 meV per atom
! Size of the total moment ... 14.917 μB per formula unit
! Calculated density ... 9.06 Mg/m³
! Calculated formation energy ... -0.4588 eV per atom
&SYSTEM
  ibrav = 0, nat = 16, ntyp = 3
/
ATOMIC_SPECIES
Gd 157.25 Gd.upf
Zn 65.41 Zn.upf
Bi 208.98 Bi.upf
CELL_PARAMETERS angstrom
7.558 0.000 0.000
0.000 7.558 0.000
0.000 0.000 7.558
ATOMIC_POSITIONS angstrom
Gd 1.889 1.889 1.889
Gd 1.889 1.889 5.668
Gd 1.889 5.668 1.889
Gd 1.889 5.668 5.668
Gd 5.668 1.889 1.889
Gd 5.668 1.889 5.668
Gd 5.668 5.668 1.889
Gd 5.668 5.668 5.668
Zn 0.000 0.000 0.000
Zn 0.000 3.779 3.779
Zn 3.779 0.000 3.779
Zn 3.779 3.779 0.000
Bi 0.000 0.000 3.779
Bi 0.000 3.779 0.000
Bi 3.779 0.000 0.000
Bi 3.779 3.779 3.779

=====

! Gd2ZnBi (PBE-GGA, relaxed); values from VASP
! Distance to the lowest polymorph of the same formula ... 0 meV per atom
! Size of the total moment ... 15.013 μB per formula unit
! Calculated density ... 9.20 Mg/m³
! Calculated formation energy ... -0.5323 eV per atom
&SYSTEM
  ibrav = 0, nat = 4, ntyp = 3
/
ATOMIC_SPECIES
Gd 157.25 Gd.upf
Zn 65.41 Zn.upf
Bi 208.98 Bi.upf
CELL_PARAMETERS angstrom
3.964 0.000 0.000
0.000 3.964 0.000
0.000 0.000 6.764
ATOMIC_POSITIONS angstrom
Gd 0.000 0.000 1.647
Gd 0.000 0.000 5.117
Zn 1.982 1.982 0.000
Bi 1.982 1.982 3.382

=====

! GdZrBi (PBE-GGA, relaxed); values from VASP
! Size of the total moment ... 8.701 μB per formula unit
! Calculated density ... 9.05 Mg/m³
! Calculated formation energy ... -0.0988 eV per atom
&SYSTEM
  ibrav = 0, nat = 3, ntyp = 3
/
ATOMIC_SPECIES
Gd 157.25 Gd.upf
Zr 91.22 Zr.upf
Bi 208.98 Bi.upf
CELL_PARAMETERS angstrom
5.293 0.000 0.000
-2.646 4.584 0.000
0.000 0.000 3.459
ATOMIC_POSITIONS angstrom
Gd 0.000 0.000 0.000
Zr 2.646 1.528 1.729
Bi 0.000 3.056 1.729

=====

calculated formation energy of number 3 (GdZn2Bi)? -0.3292 eV per atom